Record 1
## LaZn4Cu (PBE-GGA)

Data for a relaxed LaZn4Cu crystal.

a b c (Å): 5.3841 5.3841 5.3841
angles (deg): 60.00 60.00 60.00
Fractional coordinates of all 6 atoms:
Zn 0.8715 0.3762 0.3762
Zn 0.3762 0.3762 0.3762
Zn 0.3762 0.8715 0.3762
Zn 0.3762 0.3762 0.8715
Cu 0.7500 0.7500 0.7500
La 0.0000 0.0000 0.0000

Results
SG   F-43m
ΔE to the lowest computed polymorph   0.86 eV/f.u.

---

Record 2
## Pr2MgCu2O6 (PBE-GGA)

Data for a relaxed Pr2MgCu2O6 crystal.

a b c (Å): 5.7537 5.7537 6.2022
angles (deg): 62.36 62.36 60.00
Fractional coordinates of all 11 atoms:
O 0.2071 0.7596 0.2737
O 0.2404 0.7929 0.7263
O 0.7596 0.7596 0.2737
O 0.2404 0.2404 0.7263
O 0.7596 0.2071 0.2737
O 0.7929 0.2404 0.7263
Cu 0.4179 0.4179 0.7464
Cu 0.5821 0.5821 0.2536
Mg 0.0000 0.0000 0.0000
Pr 0.7903 0.7903 0.6290
Pr 0.2097 0.2097 0.3710

Results
SG   R-3m
ΔE_f (raw)   -1.88 eV/atom

---

Record 3
## Np2InBi5 (PBE-GGA)

Data for a relaxed Np2InBi5 crystal.

a b c (Å): 5.0030 9.2273 10.0071
angles (deg): 90.00 90.00 90.00
Fractional coordinates of all 16 atoms:
Bi 0.0000 0.2502 0.2501
Bi 0.0000 0.5000 0.0000
Bi 0.5000 0.7655 0.0000
Bi 0.0000 0.0000 0.5000
Bi 0.5000 0.2655 0.5001
Bi 0.5000 0.7345 0.4999
Bi 0.0000 0.2498 0.7501
Bi 0.5000 0.2345 0.0000
Bi 0.0000 0.7502 0.2499
Bi 0.0000 0.7498 0.7499
Np 0.5000 0.9998 0.7369
Np 0.5000 0.4998 0.7631
Np 0.5000 0.5002 0.2369
Np 0.5000 0.0002 0.2631
In 0.0000 0.5000 0.5000
In 0.0000 0.0000 0.0000

Results
SG   Cmmm

---

Record 4
## Pr3ErCd2 (PBE-GGA)

Data for a relaxed Pr3ErCd2 crystal.

a b c (Å): 5.5921 7.6370 9.7807
angles (deg): 112.91 106.58 89.97
Fractional coordinates of all 12 atoms:
Pr 0.5000 0.7500 0.0000
Pr 0.5000 0.2500 0.0000
Pr 0.1751 0.9251 0.3499
Pr 0.8249 0.0749 0.6501
Pr 0.8249 0.5749 0.6501
Pr 0.1751 0.4251 0.3499
Cd 0.6579 0.1579 0.3157
Cd 0.3421 0.3421 0.6843
Cd 0.6579 0.6579 0.3157
Cd 0.3422 0.8421 0.6843
Er 0.0000 0.5000 0.0000
Er 0.0000 0.0000 0.0000

Results
SG   C2/m
ΔE to the lowest computed polymorph   0.11 eV/f.u.

---

Record 5
## SrPdC2 (PBE-GGA)

Data for a relaxed SrPdC2 crystal.

a b c (Å): 4.2903 4.2903 4.2903
angles (deg): 60.00 60.00 60.00
Fractional coordinates of all 4 atoms:
C 0.2500 0.2500 0.2500
C 0.7500 0.7500 0.7500
Sr 0.0000 0.0000 0.0000
Pd 0.5000 0.5000 0.5000

Results
SG   Fm-3m

---

Record 6
## NaErSnCl6 (PBE-GGA)

Data for a relaxed NaErSnCl6 crystal.

a b c (Å): 6.9702 6.9702 12.3278
angles (deg): 90.00 90.00 120.00
Fractional coordinates of all 18 atoms:
Cl 0.9790 0.3349 0.1292
Cl 0.3349 0.9790 0.6292
Cl 0.0210 0.3559 0.6292
Cl 0.0210 0.6651 0.8708
Cl 0.6651 0.6441 0.1292
Cl 0.9790 0.6441 0.3708
Cl 0.3559 0.3349 0.3708
Cl 0.6441 0.9790 0.8708
Cl 0.3349 0.3559 0.8708
Cl 0.6651 0.0210 0.3708
Cl 0.6441 0.6651 0.6292
Cl 0.3559 0.0210 0.1292
Er 0.6667 0.3333 0.2500
Er 0.3333 0.6667 0.7500
Sn 0.0000 0.0000 0.5000
Sn 0.0000 0.0000 0.0000
Na 0.3333 0.6667 0.2500
Na 0.6667 0.3333 0.7500

Results
SG   P-31c
ΔE_f (raw)   -1.74 eV/atom

---

Record 7
## Na17Cd11Cu (PBE-GGA)

Data for a relaxed Na17Cd11Cu crystal.

a b c (Å): 10.1347 10.1347 10.0786
angles (deg): 109.24 109.24 110.11
Fractional coordinates of all 29 atoms:
Na 0.7156 0.4076 0.4043
Na 0.4076 0.4076 0.7213
Na 0.2790 0.6876 0.6860
Na 0.0035 0.3477 0.0023
Na 0.6528 0.6528 0.6523
Na 0.9960 0.9960 0.3476
Na 0.3144 0.0017 0.5909
Na 0.3477 0.0035 0.0023
Na 0.0023 0.0023 0.0020
Na 0.5930 0.9998 0.3137
Na 0.5900 0.3108 0.0007
Na 0.4076 0.7156 0.4043
Na 0.3108 0.5900 0.0007
Na 0.9998 0.5930 0.3137
Na 0.6727 0.6727 0.2720
Na 0.0017 0.3144 0.5909
Na 0.6876 0.2790 0.6860
Cd 0.1856 0.8253 0.1864
Cd 0.6390 0.9998 0.8142
Cd 0.6383 0.8169 0.0006
Cd 0.1967 0.1967 0.8486
Cd 0.8253 0.1856 0.1864
Cd 0.0021 0.8213 0.6371
Cd 0.1855 0.3644 0.3537
Cd 0.9998 0.6390 0.8142
Cd 0.3644 0.1855 0.3537
Cd 0.8169 0.6383 0.0006
Cd 0.8213 0.0021 0.6371
Cu 0.3431 0.3431 0.1761

Results
SG   Cm

---

Record 8
## RbTaGe (PBE-GGA)

Data for a relaxed RbTaGe crystal.

a b c (Å): 3.6492 3.6494 6.8461
angles (deg): 90.00 90.79 90.00
Fractional coordinates of all 3 atoms:
Ta 0.5000 0.5000 0.0000
Rb 0.0000 0.0000 0.5000
Ge 0.0000 0.0000 0.0000

Results
SG   P2/m
ΔE to the lowest computed polymorph   0.01 eV/f.u.

---

Record 9
## Ni2AgTe (PBE-GGA)

Data for a relaxed Ni2AgTe crystal.

a b c (Å): 4.4957 4.4957 4.4957
angles (deg): 60.00 60.00 60.00
Fractional coordinates of all 4 atoms:
Te 0.7500 0.7500 0.7500
Ni 0.2500 0.2500 0.2500
Ni 0.0000 0.0000 0.0000
Ag 0.5000 0.5000 0.5000

Results
SG   F-43m
ΔE_f (raw)   0.35 eV/atom

---

Record 10
## TbPuPa4 (PBE-GGA)

Data for a relaxed TbPuPa4 crystal.

a b c (Å): 6.0886 6.0886 6.0886
angles (deg): 60.00 60.00 60.00
Fractional coordinates of all 6 atoms:
Pa 0.6252 0.6252 0.1243
Pa 0.1243 0.6252 0.6252
Pa 0.6252 0.6252 0.6252
Pa 0.6252 0.1243 0.6252
Tb 0.0000 0.0000 0.0000
Pu 0.2500 0.2500 0.2500

Results
SG   F-43m

---

Record 11
## CaB14Os (PBE-GGA)

Data for a relaxed CaB14Os crystal.

a b c (Å): 5.8691 7.3953 7.3953
angles (deg): 68.69 66.62 66.62
Fractional coordinates of all 32 atoms:
B 0.3769 0.9931 0.2532
B 0.2780 0.3978 0.7215
B 0.3254 0.9666 0.8736
B 0.1662 0.7908 0.8769
B 0.8345 0.9666 0.8736
B 0.5865 0.2480 0.5790
B 0.6746 0.0334 0.1264
B 0.1231 0.2468 0.5069
B 0.6662 0.3769 0.2908
B 0.8254 0.3736 0.4666
B 0.3345 0.3736 0.4666
B 0.6026 0.3978 0.7215
B 0.1026 0.2215 0.8978
B 0.7220 0.6022 0.2785
B 0.3338 0.6231 0.7092
B 0.6231 0.0069 0.7468
B 0.6655 0.6264 0.5334
B 0.8338 0.2092 0.1231
B 0.0865 0.0790 0.7480
B 0.1655 0.0334 0.1264
B 0.9135 0.9210 0.2520
B 0.1746 0.6264 0.5334
B 0.4135 0.7520 0.4210
B 0.3974 0.6022 0.2785
B 0.8769 0.7532 0.4931
B 0.2220 0.7785 0.1022
B 0.7780 0.2215 0.8978
B 0.8974 0.7785 0.1022
Ca 0.7500 0.6171 0.8829
Ca 0.2500 0.3829 0.1171
Os 0.5000 0.0000 0.5000
Os 0.0000 0.0000 0.5000

Results
SG   Imma

---

Record 12
## Mg5Ag (PBE-GGA)

Data for a relaxed Mg5Ag crystal.

a b c (Å): 5.9238 5.9238 5.9238
angles (deg): 54.03 54.03 54.03
Fractional coordinates of all 6 atoms:
Mg 0.6588 0.3412 0.0000
Mg 0.1655 0.1655 0.1655
Mg 0.8345 0.8345 0.8345
Mg 0.3412 0.0000 0.6588
Mg 0.0000 0.6588 0.3412
Ag 0.5000 0.5000 0.5000

Results
SG   R32

---

Record 13
## TaCo (PBE-GGA)

Data for a relaxed TaCo crystal.

a b c (Å): 9.0619 7.4495 5.0929
angles (deg): 90.00 90.00 90.00
Fractional coordinates of all 24 atoms:
Co 0.8597 0.3776 0.2500
Co 0.0720 0.2500 0.5000
Co 0.5614 0.9583 0.2500
Co 0.4386 0.0417 0.7500
Co 0.8597 0.1224 0.7500
Co 0.0720 0.2500 0.0000
Co 0.4386 0.4583 0.2500
Co 0.5614 0.5417 0.7500
Co 0.9280 0.7500 0.5000
Co 0.1403 0.6224 0.7500
Co 0.1403 0.8776 0.2500
Co 0.9280 0.7500 0.0000
Ta 0.3826 0.7500 0.5000
Ta 0.3826 0.7500 0.0000
Ta 0.8700 0.0290 0.2500
Ta 0.1300 0.5290 0.2500
Ta 0.6174 0.2500 0.5000
Ta 0.6903 0.6343 0.2500
Ta 0.3097 0.3657 0.7500
Ta 0.1300 0.9710 0.7500
Ta 0.8700 0.4710 0.7500
Ta 0.3097 0.1343 0.2500
Ta 0.6174 0.2500 0.0000
Ta 0.6903 0.8657 0.7500

Results
SG   Pbcm

---

Record 14
## Ba2AsPt (PBE-GGA)

Data for a relaxed Ba2AsPt crystal.

a b c (Å): 5.6509 5.6509 3.8694
angles (deg): 90.00 90.00 93.51
Fractional coordinates of all 4 atoms:
Ba 0.5000 0.5000 0.0000
Ba 0.0000 0.0000 0.0000
Pt 0.5000 0.0000 0.5000
As 0.0000 0.5000 0.5000

Results
SG   Cmmm

---

Record 15
## Ca3ZnAg2 (PBE-GGA)

Data for a relaxed Ca3ZnAg2 crystal.

a b c (Å): 3.6564 5.2495 8.3561
angles (deg): 108.31 90.00 90.00
Fractional coordinates of all 6 atoms:
Ag 0.0000 0.3340 0.6680
Ag 0.0000 0.6660 0.3320
Ca 0.5000 0.8342 0.6683
Ca 0.5000 0.1658 0.3317
Ca 0.5000 0.5000 0.0000
Zn 0.0000 0.0000 0.0000

Results
SG   Cmmm
ΔE to the lowest computed polymorph   0.01 eV/f.u.

---

Record 16
## Cd3AgW (PBE-GGA)

Data for a relaxed Cd3AgW crystal.

a b c (Å): 5.1291 5.1291 5.1291
angles (deg): 90.00 90.00 90.00
Fractional coordinates of all 5 atoms:
Cd 0.5000 0.0000 0.0000
Cd 0.0000 0.5000 0.0000
Cd 0.0000 0.0000 0.5000
W 0.5000 0.5000 0.5000
Ag 0.0000 0.0000 0.0000

Results
SG   Pm-3m
ΔE to the lowest computed polymorph   0.44 eV/f.u.

---

Record 17
## Cs4NdU3Te8 (PBE-GGA)

Data for a relaxed Cs4NdU3Te8 crystal.

a b c (Å): 9.1895 10.4322 9.1893
angles (deg): 116.13 120.00 90.00
Fractional coordinates of all 16 atoms:
Cs 0.5000 0.0000 0.0000
Cs 0.0000 0.0000 0.0000
Cs 0.5000 0.0000 0.5000
Cs 0.0000 0.0000 0.5000
Te 0.7304 0.6913 0.4609
Te 0.2335 0.6938 0.9603
Te 0.7665 0.3062 0.5329
Te 0.2335 0.6938 0.4671
Te 0.2732 0.3062 0.0397
Te 0.7268 0.6938 0.9603
Te 0.2696 0.3087 0.5391
Te 0.7665 0.3062 0.0397
U 0.0000 0.5000 0.5000
U 0.5000 0.5000 0.0000
U 0.5000 0.5000 0.5000
Nd 0.0000 0.5000 0.0000

Results
SG   R-3m
ΔE_f (raw)   -0.98 eV/atom

---

Record 18
## TaTeOs3 (PBE-GGA)

Data for a relaxed TaTeOs3 crystal.

a b c (Å): 4.7936 4.7936 4.7936
angles (deg): 90.00 90.00 90.00
Fractional coordinates of all 5 atoms:
Os 0.0000 0.0000 0.5000
Os 0.0000 0.5000 0.0000
Os 0.5000 0.0000 0.0000
Ta 0.0000 0.0000 0.0000
Te 0.5000 0.5000 0.5000

Results
SG   Pm-3m
ΔE_f (raw)   2.15 eV/atom
ΔE to the lowest computed polymorph   0.00 eV/f.u.

---

Record 19
## SiGeF2 (PBE-GGA)

Data for a relaxed SiGeF2 crystal.

a b c (Å): 8.1209 8.1209 8.1209
angles (deg): 20.06 20.06 20.06
Fractional coordinates of all 4 atoms:
Si 0.5000 0.5000 0.5000
Ge 0.0000 0.0000 0.0000
F 0.9135 0.9135 0.9135
F 0.0865 0.0865 0.0865

Results
SG   R-3m
ΔE_f (raw)   -1.03 eV/atom
ΔE to the lowest computed polymorph   1.13 eV/f.u.

---

Record 20
## Pr3MgCd4 (PBE-GGA)

Data for a relaxed Pr3MgCd4 crystal.

a b c (Å): 5.3289 5.3289 9.4916
angles (deg): 73.70 73.70 60.00
Fractional coordinates of all 8 atoms:
Cd 0.6256 0.6256 0.1232
Cd 0.1238 0.1238 0.6286
Cd 0.8762 0.8762 0.3714
Cd 0.3744 0.3744 0.8768
Pr 0.7441 0.7441 0.7677
Pr 0.5000 0.5000 0.5000
Pr 0.2559 0.2559 0.2323
Mg 0.0000 0.0000 0.0000

Results
SG   R-3m

---

| no. | D(E_F) (states/eV per cell) | final energy (eV/atom) |
| --- | --- | --- |
| 1 | 3.7 | -2.445 |
| 2 | 3.6 | -6.339 |
| 3 | 49.2 | -5.999 |
| 4 | 15.9 | -3.625 |
| 5 | 1.2 | -4.777 |
| 6 | 0.0 | -4.074 |
| 7 | 16.7 | -1.318 |
| 8 | 1.9 | -5.362 |
| 9 | 2.4 | -4.042 |
| 10 | 15.8 | -9.230 |
| 11 | 7.2 | -6.698 |
| 12 | 2.1 | -1.872 |
| 13 | 24.9 | -9.646 |
| 14 | 3.0 | -4.342 |
| 15 | 4.5 | -2.445 |
| 16 | 2.2 | -2.307 |
| 17 | 24.9 | -5.175 |
| 18 | 8.0 | -7.589 |
| 19 | 0.8 | -4.472 |
| 20 | 6.7 | -2.745 |